[1]
# Ho13Th2 (PBE, optimized geometry)
# Total energy, eV/atom: -4.89
# Theoretical density, Mg/m³: 9.143
# ΔH_f (0 K), eV per atom: 0.066
data_Ho13Th2
_symmetry_space_group_name_H-M 'P -1'
_symmetry_Int_Tables_number 2
_symmetry_space_group_name_Hall '-P 1'
_cell_length_a 6.583
_cell_length_b 8.709
_cell_length_c 8.980
_cell_angle_alpha 69.03
_cell_angle_beta 83.94
_cell_angle_gamma 80.60
loop_
_atom_site_label
_atom_site_type_symbol
_atom_site_fract_x
_atom_site_fract_y
_atom_site_fract_z
Ho1 Ho 0.000 0.000 0.000
Ho2 Ho 0.095 0.425 0.691
Ho3 Ho 0.138 0.199 0.264
Ho4 Ho 0.238 0.576 0.974
Ho5 Ho 0.333 0.999 0.666
Ho6 Ho 0.430 0.425 0.360
Ho7 Ho 0.467 0.196 0.935
Th1 Th 0.199 0.810 0.395

[2]
# Ho2Th3 (PBE, optimized geometry)
# Total energy, eV/atom: -6.17
# Theoretical density, Mg/m³: 10.652
# ΔH_f (0 K), eV per atom: 0.117
data_Ho2Th3
_symmetry_space_group_name_H-M 'F d d 2'
_symmetry_Int_Tables_number 43
_symmetry_space_group_name_Hall 'F 2 -2d'
_cell_length_a 11.708
_cell_length_b 31.098
_cell_length_c 3.514
_cell_angle_alpha 90.00
_cell_angle_beta 90.00
_cell_angle_gamma 90.00
loop_
_atom_site_label
_atom_site_type_symbol
_atom_site_fract_x
_atom_site_fract_y
_atom_site_fract_z
Ho1 Ho 0.022 0.299 0.000
Th1 Th 0.000 0.000 0.331
Th2 Th 0.035 0.402 0.373

[3]
# Ho5Th4 (PBE, optimized geometry)
# Total energy, eV/atom: -5.80
# Theoretical density, Mg/m³: 10.208
# ΔH_f (0 K), eV per atom: 0.044
data_Ho5Th4
_symmetry_space_group_name_H-M 'I 4/m m m'
_symmetry_Int_Tables_number 139
_symmetry_space_group_name_Hall '-I 4 2'
_cell_length_a 10.643
_cell_length_b 10.643
_cell_length_c 5.034
_cell_angle_alpha 90.00
_cell_angle_beta 90.00
_cell_angle_gamma 90.00
loop_
_atom_site_label
_atom_site_type_symbol
_atom_site_fract_x
_atom_site_fract_y
_atom_site_fract_z
Ho1 Ho 0.000 0.000 0.000
Ho2 Ho 0.000 0.329 0.000
Th1 Th 0.166 0.166 0.500

[4]
# Ho2Th5 (PBE, optimized geometry)
# Total energy, eV/atom: -6.43
# Theoretical density, Mg/m³: 10.944
# ΔH_f (0 K), eV per atom: 0.177
data_Ho2Th5
_symmetry_space_group_name_H-M 'R -3 m'
_symmetry_Int_Tables_number 166
_symmetry_space_group_name_Hall '-R 3 2"'
_cell_length_a 5.6623
_cell_length_b 5.6623
_cell_length_c 24.4288
_cell_angle_alpha 90.00
_cell_angle_beta 90.00
_cell_angle_gamma 120.00
loop_
_atom_site_label
_atom_site_type_symbol
_atom_site_fract_x
_atom_site_fract_y
_atom_site_fract_z
Ho1 Ho 0.0000 0.0000 0.1403
Th1 Th 0.0000 0.0000 0.0000
Th2 Th 0.0000 0.0000 0.2844
Th3 Th 0.0000 0.0000 0.4237

[5]
# Ho2Th (PBE, optimized geometry)
# Total energy, eV/atom: -5.54
# Theoretical density, Mg/m³: 9.896
# ΔH_f (0 K), eV per atom: -0.016
data_Ho2Th
_symmetry_space_group_name_H-M 'R -3 m'
_symmetry_Int_Tables_number 166
_symmetry_space_group_name_Hall '-R 3 2"'
_cell_length_a 3.5821
_cell_length_b 3.5821
_cell_length_c 25.4529
_cell_angle_alpha 90.00
_cell_angle_beta 90.00
_cell_angle_gamma 120.00
loop_
_atom_site_label
_atom_site_type_symbol
_atom_site_fract_x
_atom_site_fract_y
_atom_site_fract_z
Ho1 Ho 0.0000 0.0000 0.2236
Th1 Th 0.0000 0.0000 0.0000

[6]
# Ho3Th (PBE, optimized geometry)
# Total energy, eV/atom: -5.24
# Theoretical density, Mg/m³: 9.485
# ΔH_f (0 K), eV per atom: 0.049
data_Ho3Th
_symmetry_space_group_name_H-M 'P 63/m m c'
_symmetry_Int_Tables_number 194
_symmetry_space_group_name_Hall '-P 6c 2c'
_cell_length_a 7.1696
_cell_length_b 7.1696
_cell_length_c 5.7165
_cell_angle_alpha 90.00
_cell_angle_beta 90.00
_cell_angle_gamma 120.00
loop_
_atom_site_label
_atom_site_type_symbol
_atom_site_fract_x
_atom_site_fract_y
_atom_site_fract_z
Ho1 Ho 0.1673 0.3347 0.2500
Th1 Th 0.3333 0.6667 0.7500